No. 1
! AsOsPt2 | Alexandria | PBE | relaxed; values from VASP
! VASP energy in eV per atom: -6.6819
! ΔH_f (0 K) in eV/f.u.: 1.2
&SYSTEM
  ibrav = 0, nat = 4, ntyp = 3
/
ATOMIC_SPECIES
Os 190.23 Os.upf
Pt 195.08 Pt.upf
As 74.92 As.upf
CELL_PARAMETERS angstrom
-0.150 -1.088 -2.670
-0.355 -4.222 1.739
-4.704 0.432 0.088
ATOMIC_POSITIONS crystal
Os 0.000 0.500 0.500
Pt 0.000 0.000 0.000
Pt 0.500 0.500 0.000
As 0.500 0.000 0.500

No. 2
! As4OsPt | Alexandria | PBE | relaxed; values from VASP
! VASP energy in eV per atom: -4.9646
! ΔH_f (0 K) in eV/f.u.: 6.1
&SYSTEM
  ibrav = 0, nat = 6, ntyp = 3
/
ATOMIC_SPECIES
As 74.92 As.upf
Os 190.23 Os.upf
Pt 195.08 Pt.upf
CELL_PARAMETERS angstrom
2.219 -3.554 -3.268
2.367 -4.322 1.988
-2.231 -4.780 -0.636
ATOMIC_POSITIONS crystal
As 0.376 0.376 0.873
As 0.376 0.376 0.376
As 0.376 0.873 0.376
As 0.873 0.376 0.376
Os 0.750 0.750 0.750
Pt 0.000 0.000 0.000

No. 3
! AsOs2Pt | Alexandria | PBE | relaxed; values from VASP
! VASP energy in eV per atom: -7.8571
! ΔH_f (0 K) in eV/f.u.: 1.7
&SYSTEM
  ibrav = 0, nat = 4, ntyp = 3
/
ATOMIC_SPECIES
As 74.92 As.upf
Os 190.23 Os.upf
Pt 195.08 Pt.upf
CELL_PARAMETERS angstrom
-0.228 -2.974 -0.123
1.165 -0.202 2.741
-6.113 0.359 2.625
ATOMIC_POSITIONS crystal
As 0.500 0.500 0.750
Os 0.000 0.000 0.530
Os 0.000 0.000 0.970
Pt 0.500 0.500 0.250

No. 4
! AsOsPt2 | Alexandria | PBE | relaxed; values from VASP
! VASP energy in eV per atom: -6.7382
! ΔH_f (0 K) in eV/f.u.: 1.0
&SYSTEM
  ibrav = 0, nat = 4, ntyp = 3
/
ATOMIC_SPECIES
Pt 195.08 Pt.upf
Os 190.23 Os.upf
As 74.92 As.upf
CELL_PARAMETERS angstrom
-2.566 0.657 -4.829
1.947 -2.379 -4.569
-2.075 -0.396 5.086
ATOMIC_POSITIONS crystal
Pt 0.009 0.009 0.000
Pt 0.733 0.233 0.500
Os 0.273 0.773 0.500
As 0.485 0.485 0.000

No. 5
! AsOs2Pt | Alexandria | PBE | relaxed; values from VASP
! VASP energy in eV per atom: -7.8046
! ΔH_f (0 K) in eV/f.u.: 1.9
&SYSTEM
  ibrav = 0, nat = 4, ntyp = 3
/
ATOMIC_SPECIES
Os 190.23 Os.upf
As 74.92 As.upf
Pt 195.08 Pt.upf
CELL_PARAMETERS angstrom
-2.180 1.706 3.863
-4.282 -2.046 0.267
4.320 -1.909 -0.532
ATOMIC_POSITIONS crystal
Os 0.000 0.000 0.000
Os 0.250 0.750 0.500
As 0.750 0.250 0.500
Pt 0.500 0.500 0.000

No. 6
! AsOs2Pt | Alexandria | PBE | relaxed; values from VASP
! VASP energy in eV per atom: -7.8838
! ΔH_f (0 K) in eV/f.u.: 1.6
&SYSTEM
  ibrav = 0, nat = 4, ntyp = 3
/
ATOMIC_SPECIES
Os 190.23 Os.upf
As 74.92 As.upf
Pt 195.08 Pt.upf
CELL_PARAMETERS angstrom
-4.536 0.648 -1.527
1.796 -3.869 -2.015
-0.945 -1.557 2.147
ATOMIC_POSITIONS crystal
Os 0.000 0.000 0.000
Os 0.500 0.000 0.500
As 0.500 0.500 0.000
Pt 0.000 0.500 0.500